[1]
Material: Sm3ErAl2
Method: DFT, GGA-PBE
State: relaxed

a = 5.1667 Å, b = 6.6194 Å, c = 9.6389 Å
α = 90.00°, β = 90.00°, γ = 90.00°
With the nearest neighbours (Å) after each atom.
Element x y z (fractional)
Al 0.5000 0.2063 0.1498  7 Sm 3.17-3.43, 1 Er 3.20
Er 0.5000 0.5245 0.5430  3 Al 3.16-3.20, 2 Er 3.41, 3 Sm 3.43-3.48
Sm 0.0000 0.4736 0.9596  3 Al 3.19-3.23, 5 Sm 3.40-3.57
Sm 0.0000 0.8096 0.6705  5 Al 3.06-3.41, 2 Er 3.43
Sm 0.0000 0.3096 0.3295  5 Al 3.06-3.41, 2 Er 3.43
Sm 0.5000 0.6903 0.1788  5 Al 3.16-3.43, 2 Sm 3.46, 1 Er 3.48
Sm 0.5000 0.1903 0.8212  5 Al 3.16-3.43, 2 Sm 3.46, 1 Er 3.48
Al 0.0000 0.7957 0.3527  6 Sm 3.06-3.41, 2 Er 3.16
Sm 0.0000 0.9736 0.0404  3 Al 3.19-3.23, 5 Sm 3.40-3.57
Al 0.5000 0.7063 0.8502  7 Sm 3.17-3.43, 1 Er 3.20
Er 0.5000 0.0245 0.4570  3 Al 3.16-3.20, 2 Er 3.41, 3 Sm 3.43-3.48
Al 0.0000 0.2957 0.6473  6 Sm 3.06-3.41, 2 Er 3.16

Results
Its calculated total energy is -4.639 eV per atom. The density of states at the Fermi level comes out at 10.342 states/eV per cell. As for the size of the total moment: 0.00 μB/f.u. The calculation puts the energy relative to the elements at -0.271 eV per atom.

[2]
Material: Ho4HgPtAu2
Method: DFT, GGA-PBE
State: relaxed

a = 5.0699 Å, b = 5.0699 Å, c = 8.7935 Å
α = 73.25°, β = 73.25°, γ = 60.00°
With the nearest neighbours (Å) after each atom.
Element x y z (fractional)
Ho 0.6187 0.6187 0.1440  1 Pt 2.95, 4 Au 3.01-3.09, 3 Hg 3.16
Ho 0.1301 0.1301 0.6097  3 Pt 3.07, 4 Au 3.16-3.22, 1 Hg 3.24
Pt 0.5000 0.5000 0.5000  8 Ho 2.95-3.07
Ho 0.3813 0.3813 0.8560  1 Pt 2.95, 4 Au 3.01-3.09, 3 Hg 3.16
Au 0.2571 0.2571 0.2286  8 Ho 3.01-3.22
Ho 0.8699 0.8699 0.3903  3 Pt 3.07, 4 Au 3.16-3.22, 1 Hg 3.24
Au 0.7429 0.7429 0.7714  8 Ho 3.01-3.22
Hg 0.0000 0.0000 0.0000  8 Ho 3.16-3.24, 6 Au 3.49

Results
Its calculated total energy is -4.779 eV per atom. The density of states at the Fermi level comes out at 3.500 states/eV per cell. As for the size of the total moment: 0.00 μB/f.u. The calculation puts the energy relative to the elements at -0.878 eV per atom.

[3]
Material: Ac4CoI2Cl
Method: DFT, GGA-PBE
State: relaxed

a = 4.2930 Å, b = 7.8962 Å, c = 8.8370 Å
α = 106.69°, β = 90.00°, γ = 90.00°
With the nearest neighbours (Å) after each atom.
Element x y z (fractional)
Cl 0.0000 0.0000 0.0000  6 Ac 3.11-3.26
I 0.0000 0.5000 0.5000  6 Ac 3.55
Ac 0.0000 0.3006 0.8125  2 Co 2.89
Ac 0.0000 0.6994 0.1875  2 Co 2.89
Ac 0.5000 0.2567 0.1953  1 Co 2.93, 2 Cl 3.11
Ac 0.5000 0.7433 0.8047  1 Co 2.93, 2 Cl 3.11
Co 0.5000 0.5000 0.0000  6 Ac 2.89-2.93
I 0.5000 0.0000 0.5000  6 Ac 3.76-3.81

Results
Its calculated total energy is -4.446 eV per atom. The density of states at the Fermi level comes out at 5.553 states/eV per cell. As for the size of the total moment: 0.00 μB/f.u. Its raw formation energy is -0.885 eV/atom.